(1)
# Sc2TlO

Sc2TlO at its PBEsol-relaxed geometry (SCAN, Alexandria via LeMat-Bulk).

Output
Its uncorrected formation energy is -0.570 eV per atom. As for the density of states at the Fermi level: 22.8 states/eV/cell. The total magnetization comes out at 0.00 μB/cell.

abc: 6.6291 6.6291 6.6291
angles: 90.00 90.00 90.00
Closest atoms and distances in Å follow each position.
Space group Fm-3m (No. 225)
Asymmetric unit:
Sc1 0.2500 0.2500 0.2500 (multiplicity 8)  4 O 2.87, 4 Tl 2.87
Tl1 0.0000 0.0000 0.0000 (multiplicity 4)  8 Sc 2.87
O1 0.0000 0.0000 0.5000 (multiplicity 4)  8 Sc 2.87

(2)
# TmScO3

TmScO3 at its PBEsol-relaxed geometry (SCAN, Alexandria via LeMat-Bulk).

Output
Its uncorrected formation energy is -3.924 eV per atom. As for the density of states at the Fermi level: 0.0 states/eV/cell. The total magnetization comes out at 0.00 μB/cell.

abc: 5.6459 7.8351 5.3331
angles: 90.00 90.00 90.00
Closest atoms and distances in Å follow each position.
Space group Pnma (No. 62)
Asymmetric unit:
Tm1 0.0654 0.2500 0.0223 (multiplicity 4)  4 O 2.17-2.27
Sc1 0.0000 0.0000 0.5000 (multiplicity 4)  6 O 2.06-2.12
O1 0.0628 0.7500 0.3618 (multiplicity 4)  2 Sc 2.12, 2 Tm 2.17-2.27
O2 0.1922 0.5723 0.8111 (multiplicity 8)  2 Sc 2.06-2.09, 1 Tm 2.20

(3)
# Sc7V9O24

Sc7V9O24 at its PBEsol-relaxed geometry (SCAN, Alexandria via LeMat-Bulk).

Output
Its uncorrected formation energy is -3.177 eV per atom. As for the density of states at the Fermi level: 0.5 states/eV/cell. The total magnetization comes out at 18.00 μB/cell.

abc: 8.2160 8.2171 8.2504
angles: 109.68 109.23 109.26
Closest atoms and distances in Å follow each position.
Space group P1 (No. 1)
Asymmetric unit:
Sc1 0.0000 0.0000 0.0000 (multiplicity 1)  6 O 2.07-2.12
Sc2 0.0077 0.4985 0.4979 (multiplicity 1)  6 O 2.06-2.15
Sc3 0.0414 0.8250 0.2871 (multiplicity 1)  6 O 2.04-2.15
Sc4 0.2964 0.0406 0.8252 (multiplicity 1)  6 O 2.04-2.13
Sc5 0.5419 0.3259 0.2871 (multiplicity 1)  6 O 2.04-2.13
Sc6 0.7100 0.5341 0.7512 (multiplicity 1)  6 O 2.06-2.14
Sc7 0.9682 0.2526 0.7884 (multiplicity 1)  6 O 2.04-2.17
V1 0.2231 0.5438 0.2551 (multiplicity 1)  6 O 1.95-2.07
V2 0.2548 0.2884 0.5346 (multiplicity 1)  6 O 2.01-2.04
V3 0.2648 0.7891 0.0423 (multiplicity 1)  6 O 1.99-2.06
V4 0.4646 0.7487 0.7833 (multiplicity 1)  6 O 1.96-2.07
V5 0.5041 0.0674 0.5711 (multiplicity 1)  6 O 1.95-2.05
V6 0.5044 0.5804 0.0762 (multiplicity 1)  6 O 1.98-2.04
V7 0.7478 0.7881 0.5344 (multiplicity 1)  6 O 2.01-2.05
V8 0.7525 0.2828 0.0361 (multiplicity 1)  6 O 2.00-2.04
V9 0.7858 0.0349 0.3244 (multiplicity 1)  6 O 1.97-2.08
O1 0.9995 0.2659 0.0607 (multiplicity 1)  2 V 2.00-2.03, 2 Sc 2.07-2.14
O2 0.0121 0.0665 0.2701 (multiplicity 1)  2 V 2.01-2.03, 2 Sc 2.07-2.12
O3 0.0202 0.0172 0.7566 (multiplicity 1)  1 V 2.03, 3 Sc 2.07-2.12
O4 0.0284 0.2906 0.5792 (multiplicity 1)  2 V 2.02-2.08, 2 Sc 2.04-2.07
O5 0.2165 0.7490 0.7711 (multiplicity 1)  2 V 2.01-2.03, 2 Sc 2.06-2.10
O6 0.2262 0.5230 0.9988 (multiplicity 1)  3 V 1.99-2.07, 1 Sc 2.08
O7 0.2521 0.0574 0.5743 (multiplicity 1)  2 V 2.03-2.05, 2 Sc 2.04-2.08
O8 0.2768 0.5260 0.4973 (multiplicity 1)  3 V 1.97-2.04, 1 Sc 2.15
O9 0.2908 0.0582 0.0839 (multiplicity 1)  3 Sc 2.04-2.11, 1 V 2.05
O10 0.3100 0.8257 0.3119 (multiplicity 1)  3 V 1.97-2.03, 1 Sc 2.15
O11 0.4701 0.5136 0.8084 (multiplicity 1)  3 V 1.98-2.02, 1 Sc 2.14
O12 0.4741 0.2655 0.4897 (multiplicity 1)  2 V 2.01, 2 Sc 2.08-2.12
O13 0.4797 0.5611 0.3074 (multiplicity 1)  3 V 1.95-2.03, 1 Sc 2.12
O14 0.5308 0.3386 0.0306 (multiplicity 1)  2 V 1.99-2.01, 2 Sc 2.13
O15 0.5344 0.8370 0.0751 (multiplicity 1)  4 V 1.97-2.07
O16 0.5365 0.0120 0.8004 (multiplicity 1)  3 V 1.99-2.05, 1 Sc 2.13
O17 0.6987 0.0075 0.5188 (multiplicity 1)  3 V 1.95-2.01, 1 Sc 2.17
O18 0.7052 0.7933 0.7644 (multiplicity 1)  2 V 1.96-2.03, 2 Sc 2.11-2.12
O19 0.7447 0.2303 0.2549 (multiplicity 1)  2 V 1.97-2.01, 2 Sc 2.12-2.14
O20 0.7534 0.3234 0.8106 (multiplicity 1)  2 V 2.00-2.05, 2 Sc 2.06-2.07
O21 0.7811 0.7759 0.2997 (multiplicity 1)  3 V 2.00-2.05, 1 Sc 2.09
O22 0.8009 0.5649 0.5477 (multiplicity 1)  1 V 2.05, 3 Sc 2.07-2.10
O23 0.9799 0.5556 0.2670 (multiplicity 1)  2 Sc 2.04-2.07, 2 V 2.04-2.06
O24 0.9865 0.7376 0.9983 (multiplicity 1)  1 V 2.06, 3 Sc 2.06-2.12

(4)
# YScO2

YScO2 at its PBEsol-relaxed geometry (SCAN, Alexandria via LeMat-Bulk).

Output
Its uncorrected formation energy is -3.214 eV per atom. As for the density of states at the Fermi level: 1.9 states/eV/cell. The total magnetization comes out at 0.00 μB/cell.

abc: 3.5321 3.5321 18.1595
angles: 90.00 90.00 120.00
Closest atoms and distances in Å follow each position.
Space group R-3m (No. 166, hexagonal axes)
Asymmetric unit:
Y1 0.0000 0.0000 0.0000 (multiplicity 3)  6 O 2.28
Sc1 0.0000 0.0000 0.5000 (multiplicity 3)  2 O 2.00
O1 0.0000 0.0000 0.3898 (multiplicity 6)  1 Sc 2.00

(5)
# Sc3ZnO

Sc3ZnO at its PBEsol-relaxed geometry (SCAN, Alexandria via LeMat-Bulk).

Output
Its uncorrected formation energy is -1.554 eV per atom. As for the density of states at the Fermi level: 2.0 states/eV/cell. The total magnetization comes out at 0.00 μB/cell.

abc: 4.3166 4.3166 4.3166
angles: 90.00 90.00 90.00
Closest atoms and distances in Å follow each position.
Space group Pm-3m (No. 221)
Asymmetric unit:
Sc1 0.0000 0.0000 0.5000 (multiplicity 3)  2 O 2.16
Zn1 0.5000 0.5000 0.5000 (multiplicity 1)  12 Sc 3.05
O1 0.0000 0.0000 0.0000 (multiplicity 1)  6 Sc 2.16

(6)
# Zr3Sc4O12

Zr3Sc4O12 at its PBEsol-relaxed geometry (SCAN, Alexandria via LeMat-Bulk).

Output
Its uncorrected formation energy is -3.829 eV per atom. As for the density of states at the Fermi level: 0.0 states/eV/cell. The total magnetization comes out at 0.00 μB/cell.

abc: 6.1368 6.1737 12.2006
angles: 99.40 99.37 99.76
Closest atoms and distances in Å follow each position.
Space group P-1 (No. 2)
Asymmetric unit:
Zr1 0.0063 0.0044 0.2487 (multiplicity 2)  6 O 2.04-2.11
Zr2 0.1392 0.6132 0.9053 (multiplicity 2)  6 O 2.05-2.19
Zr3 0.3141 0.1409 0.5571 (multiplicity 2)  6 O 2.05-2.18
Sc1 0.1374 0.6063 0.4063 (multiplicity 2)  6 O 2.06-2.26
Sc2 0.3220 0.1416 0.0551 (multiplicity 2)  6 O 2.09-2.22
Sc3 0.3918 0.6841 0.1787 (multiplicity 2)  6 O 2.05-2.24
Sc4 0.3936 0.6763 0.6806 (multiplicity 2)  6 O 2.07-2.24
O1 0.0592 0.6827 0.2012 (multiplicity 2)  2 Zr 2.07-2.11, 1 Sc 2.10
O2 0.0636 0.6731 0.7126 (multiplicity 2)  1 Zr 2.10, 2 Sc 2.12
O3 0.0845 0.9395 0.4119 (multiplicity 2)  2 Zr 2.09-2.13, 1 Sc 2.13
O4 0.0933 0.9409 0.9122 (multiplicity 2)  2 Zr 2.06-2.08, 1 Sc 2.11
O5 0.1772 0.4189 0.0361 (multiplicity 2)  2 Sc 2.09-2.24, 2 Zr 2.15-2.17
O6 0.1785 0.4182 0.5361 (multiplicity 2)  1 Zr 2.06, 3 Sc 2.12-2.24
O7 0.3199 0.0930 0.7199 (multiplicity 2)  2 Zr 2.05-2.11, 1 Sc 2.11
O8 0.3254 0.0997 0.2220 (multiplicity 2)  1 Zr 2.04, 2 Sc 2.07-2.09
O9 0.4158 0.8195 0.0375 (multiplicity 2)  3 Sc 2.05-2.15, 1 Zr 2.19
O10 0.4204 0.5705 0.8405 (multiplicity 2)  1 Zr 2.05, 3 Sc 2.11-2.22
O11 0.4230 0.5838 0.3411 (multiplicity 2)  3 Sc 2.06-2.16, 1 Zr 2.18
O12 0.4251 0.8237 0.5396 (multiplicity 2)  2 Sc 2.09-2.26, 2 Zr 2.14-2.17